DFT (GGA+U) results for a geometry-optimized Pm3CoNi3O8 structure.

Calculated values
- density of states at the Fermi level (states/eV/cell) = 3.47
- calculated density (g/cm3) = 6.15
- E (eV per atom) = -6.268
- symmetry = C2/m

abc: 6.2021 7.2933 6.0806
angles: 116.95 90.00 115.16
Sites, in units of the cell vectors:
O 0.7348 0.4696 0.2658
O 0.7877 0.5755 0.7598
Ni 0.5000 0.5000 0.5000
Pm 0.5000 0.5000 0.0000
O 0.1916 0.9157 0.2563
Pm 0.0000 0.0000 0.0000
Ni 0.5000 0.0000 0.5000
O 0.7242 0.9157 0.2563
Pm 0.0000 0.5000 0.0000
O 0.8084 0.0843 0.7437
Co 0.0000 0.0000 0.5000
O 0.2652 0.5304 0.7342
Ni 0.0000 0.5000 0.5000
O 0.2123 0.4245 0.2402
O 0.2758 0.0843 0.7437